(1)
Compound: CuAu4
Source: Alexandria via LeMat-Bulk
Functional: PBE
Structure: relaxed

```
CuAu4
1.0
2.894 0.000 0.000
-1.447 8.007 -0.143
0.000 -0.831 3.698
Au Cu
4 1
Direct
0.597 0.194 0.597
0.809 0.619 0.809
0.991 0.981 0.991
0.203 0.406 0.203
0.400 0.800 0.400
```

Calculated values
Its crystal system is orthorhombic. As for the magnetic moment: 0.00 μB/cell. Its calculated volume is 17.07 A^3/atom.

=====

(2)
Compound: CuAu4
Source: Alexandria via LeMat-Bulk
Functional: PBE
Structure: relaxed

```
CuAu4
1.0
-4.086 -5.788 2.315
-3.572 -2.136 6.184
1.612 5.184 -5.108
Au Cu
4 1
Direct
0.750 0.250 0.500
0.406 0.406 0.000
0.250 0.750 0.500
0.594 0.594 0.000
0.000 0.000 0.000
```

Calculated values
Its crystal system is tetragonal. As for the magnetic moment: 0.00 μB/cell. Its calculated volume is 19.88 A^3/atom.

=====

(3)
Compound: CuAu4
Source: Alexandria via LeMat-Bulk
Functional: PBE
Structure: relaxed

```
CuAu4
1.0
2.630 -4.112 -1.361
1.665 1.661 4.489
-4.916 -1.179 0.353
Cu Au
1 4
Direct
0.000 0.000 0.000
0.000 0.000 0.500
0.500 0.000 0.000
0.000 0.500 0.000
0.500 0.500 0.500
```

Calculated values
Its crystal system is cubic. As for the magnetic moment: 0.00 μB/cell. Its calculated volume is 20.03 A^3/atom.

=====

(4)
Compound: CuAu4
Source: Alexandria via LeMat-Bulk
Functional: PBE
Structure: relaxed

```
CuAu4
1.0
4.748 0.000 0.000
0.000 4.748 0.000
0.000 0.000 4.748
Au Cu
4 1
Direct
0.500 0.500 0.000
0.500 0.000 0.500
0.000 0.000 0.000
0.000 0.500 0.500
0.500 0.500 0.500
```

Calculated values
Its crystal system is cubic. As for the magnetic moment: 0.00 μB/cell. Its calculated volume is 21.40 A^3/atom.

=====

Stability ranking, top entry: (1); the second entry is 205 meV per atom less favorable.

=====

(1)
Compound: CuAu4
Source: Alexandria via LeMat-Bulk
Functional: PBE
Structure: relaxed

```
CuAu4
1.0
-5.948 -2.211 0.999
1.074 -0.028 6.333
-3.137 0.821 3.794
Au Cu
4 1
Direct
0.204 0.396 0.000
0.604 0.204 0.000
0.396 0.796 0.000
0.796 0.604 0.000
0.000 0.000 0.000
```

Calculated values
Its crystal system is tetragonal. As for the magnetic moment: 0.00 μB/cell. Its calculated volume is 17.06 A^3/atom.

=====

(2)
Compound: CuAu4
Source: Alexandria via LeMat-Bulk
Functional: PBE
Structure: relaxed

```
CuAu4
1.0
10.205 -0.008 0.008
-0.413 2.881 0.000
0.413 0.059 2.880
Au Cu
4 1
Direct
0.193 0.597 0.403
0.407 0.203 0.797
0.622 0.811 0.189
0.978 0.989 0.011
0.800 0.400 0.600
```

Calculated values
Its crystal system is tetragonal. As for the magnetic moment: 0.00 μB/cell. Its calculated volume is 16.93 A^3/atom.

=====

Stability ranking, top entry: (2); the second entry is 15 meV per atom less favorable.

=====

(1)
Compound: Cu3Au4
Source: Alexandria via LeMat-Bulk
Functional: PBE
Structure: relaxed

```
Cu3Au4
1.0
-3.673 2.791 -1.746
2.474 -3.001 -3.034
-3.413 -3.850 1.026
Au Cu
4 3
Direct
0.000 0.000 0.750
0.667 0.333 0.500
0.000 0.000 0.250
0.333 0.667 0.500
0.500 0.000 0.000
0.000 0.500 0.000
0.500 0.500 0.000
```

Calculated values
Its crystal system is hexagonal. As for the magnetic moment: 0.00 μB/cell. Its calculated volume is 15.79 A^3/atom.

=====

(2)
Compound: Cu3Au4
Source: Alexandria via LeMat-Bulk
Functional: PBE
Structure: relaxed

```
Cu3Au4
1.0
4.770 0.000 0.000
-2.385 3.585 -0.381
0.000 -2.810 6.816
Cu Au
3 4
Direct
0.642 0.284 0.935
0.358 0.716 0.065
0.500 0.000 0.500
0.067 0.134 0.205
0.933 0.866 0.795
0.222 0.444 0.642
0.778 0.556 0.358
```

Calculated values
Its crystal system is monoclinic. As for the magnetic moment: 0.00 μB/cell. Its calculated volume is 15.92 A^3/atom.

=====

Stability ranking, top entry: (2); the second entry is 25 meV per atom less favorable.

=====

(1)
Compound: Cu5Au4
Source: Alexandria via LeMat-Bulk
Functional: PBE
Structure: relaxed

```
Cu5Au4
1.0
-0.626 7.987 -2.614
-2.892 -2.666 -7.453
-3.518 2.737 -4.378
Au Cu
4 5
Direct
0.000 0.316 0.000
0.316 0.000 0.000
0.000 0.684 0.000
0.684 0.000 0.000
0.000 0.000 0.000
0.338 0.662 0.000
0.338 0.338 0.000
0.662 0.338 0.000
0.662 0.662 0.000
```

Calculated values
Its crystal system is tetragonal. As for the magnetic moment: 0.00 μB/cell. Its calculated volume is 14.83 A^3/atom.

=====

(2)
Compound: Cu5Au4
Source: Alexandria via LeMat-Bulk
Functional: PBE
Structure: relaxed

```
Cu5Au4
1.0
7.698 0.000 0.000
3.849 6.667 0.000
0.000 0.000 5.294
Cu Au
10 8
Direct
0.333 0.333 0.500
0.667 0.667 0.000
0.667 0.667 0.500
0.317 0.000 0.750
0.317 0.683 0.250
0.333 0.333 0.000
0.683 0.000 0.250
0.683 0.317 0.750
0.000 0.317 0.250
0.000 0.683 0.750
0.357 0.643 0.750
0.000 0.000 0.500
0.000 0.357 0.750
0.643 0.000 0.750
0.357 0.000 0.250
0.000 0.643 0.250
0.643 0.357 0.250
0.000 0.000 0.000
```

Calculated values
Its crystal system is hexagonal. As for the magnetic moment: 0.00 μB/cell. Its calculated volume is 15.10 A^3/atom.

=====

Stability ranking, top entry: (1); the second entry is 73 meV per atom less favorable.